[1]
Entry from Alexandria: crystalline LaPrErHg at its relaxed geometry (GGA-PBE).

Structure (POSCAR):
```
LaPrErHg
1.0
-1.755 5.010 -1.716
-3.023 3.216 3.412
2.228 4.630 2.171
Hg La Pr Er
1 1 1 1
Direct
0.000 0.000 0.000
0.250 0.250 0.250
0.750 0.750 0.750
0.500 0.500 0.500
```

Output
**E_form**: -0.094 eV per atom
**Calculated volume**: 30.691 Å³ per atom
**Crystal system**: cubic
**Magnetic moment**: 0.00 μB/f.u.
**Offset from the most stable computed form**: 136 meV per atom



[2]
Entry from Alexandria: crystalline LaPr2ErHg4 at its relaxed geometry (GGA-PBE).

Structure (POSCAR):
```
LaPr2ErHg4
1.0
-1.796 4.204 -2.888
-2.800 -0.844 -4.549
-9.127 1.090 2.201
Hg La Pr Er
4 1 2 1
Direct
0.621 0.621 0.138
0.379 0.379 0.862
0.872 0.872 0.383
0.128 0.128 0.617
0.000 0.000 0.000
0.249 0.249 0.252
0.751 0.751 0.748
0.500 0.500 0.500
```

Output
**E_form**: -0.467 eV per atom
**Calculated volume**: 28.236 Å³ per atom
**Crystal system**: trigonal
**Magnetic moment**: 1.49 μB/f.u.